Record 1
An optimized crystal structure of CdP2Os, computed with GGA-PBEsol.

Cell: 3.786 3.786 8.393 Å, 90.00 90.00 90.00°
Sites, in units of the cell vectors:
Cd1 0.000 0.000 0.000
Cd2 0.500 0.500 0.500
P1 0.000 0.000 0.500
P2 0.000 0.500 0.750
P3 0.500 0.000 0.250
P4 0.500 0.500 0.000
Os1 0.000 0.500 0.250
Os2 0.500 0.000 0.750

Values from the calculation:
- DOS at the Fermi energy: 0.603 states/eV per atom
- Energy above the lowest structure with this stoichiometry: 369 meV per atom
- Space-group type: I-4m2
- Formation enthalpy at 0 K: 0.693 eV per atom

Record 2
An optimized crystal structure of V3O5, computed with GGA-PBEsol.

Cell: 5.558 5.558 7.023 Å, 109.87 109.87 52.42°
Sites, in units of the cell vectors:
V1 0.000 0.000 0.000
V2 0.000 0.000 0.500
V3 0.366 0.378 0.782
V4 0.378 0.366 0.282
V5 0.622 0.634 0.718
V6 0.634 0.622 0.218
O1 0.042 0.343 0.162
O2 0.193 0.807 0.250
O3 0.260 0.575 0.555
O4 0.343 0.042 0.662
O5 0.425 0.740 0.945
O6 0.575 0.260 0.055
O7 0.657 0.958 0.338
O8 0.740 0.425 0.445
O9 0.807 0.193 0.750
O10 0.958 0.657 0.838

Values from the calculation:
- DOS at the Fermi energy: 0.687 states/eV per atom
- Energy relative to the elements, uncorrected: -2.35 eV per atom
- Space-group type: C2/c

Record 3
An optimized crystal structure of YMnCu2, computed with GGA-PBEsol.

Cell: 3.981 3.981 3.875 Å, 90.00 90.00 90.00°
Sites, in units of the cell vectors:
Y1 0.000 0.000 0.000
Mn1 0.500 0.500 0.000
Cu1 0.000 0.500 0.500
Cu2 0.500 0.000 0.500

Values from the calculation:
- DOS at the Fermi energy: 0.751 states/eV per atom
- Space-group type: P4/mmm
- Formation enthalpy at 0 K: 0.209 eV per atom

Record 4
An optimized crystal structure of Li7Br3O2, computed with GGA-PBEsol.

Cell: 11.022 11.022 11.022 Å, 159.57 159.57 29.05°
Sites, in units of the cell vectors:
Li1 0.000 0.000 0.000
Li2 0.093 0.593 0.500
Li3 0.181 0.181 0.000
Li4 0.407 0.907 0.500
Li5 0.593 0.093 0.500
Li6 0.819 0.819 0.000
Li7 0.907 0.407 0.500
Br1 0.311 0.311 0.000
Br2 0.500 0.500 0.000
Br3 0.689 0.689 0.000
O1 0.092 0.092 0.000
O2 0.908 0.908 0.000

Values from the calculation:
- DOS at the Fermi energy: 0.000 states/eV per atom
- Energy relative to the elements, uncorrected: -1.70 eV per atom
- Space-group type: I4/mmm

Record 5
An optimized crystal structure of MgSbPS2, computed with GGA-PBEsol.

Cell: 4.958 4.958 4.958 Å, 90.00 90.00 90.00°
Sites, in units of the cell vectors:
Mg1 0.000 0.000 0.000
Sb1 0.500 0.500 0.500
P1 0.500 0.500 0.000
S1 0.000 0.500 0.500
S2 0.500 0.000 0.500

Values from the calculation:
- DOS at the Fermi energy: 0.863 states/eV per atom
- Energy relative to the elements, uncorrected: 0.39 eV per atom
- Space-group type: P4/mmm

Record 6
An optimized crystal structure of Ba2CaTb2Ti3Cu2O14, computed with GGA-PBEsol.

Cell: 3.853 3.853 19.547 Å, 90.00 90.00 90.00°
Sites, in units of the cell vectors:
Ba1 0.000 0.000 0.000
Ba2 0.000 0.000 0.370
Ca1 0.000 0.000 0.796
Tb1 0.000 0.000 0.185
Tb2 0.000 0.000 0.584
Ti1 0.500 0.500 0.483
Ti2 0.500 0.500 0.683
Ti3 0.500 0.500 0.886
Cu1 0.500 0.500 0.104
Cu2 0.500 0.500 0.266
O1 0.000 0.500 0.111
O2 0.000 0.500 0.257
O3 0.000 0.500 0.495
O4 0.000 0.500 0.671
O5 0.000 0.500 0.875
O6 0.500 0.000 0.111
O7 0.500 0.000 0.257
O8 0.500 0.000 0.495
O9 0.500 0.000 0.671
O10 0.500 0.000 0.875
O11 0.500 0.500 0.388
O12 0.500 0.500 0.583
O13 0.500 0.500 0.778
O14 0.500 0.500 0.980

Values from the calculation:
- DOS at the Fermi energy: 0.090 states/eV per atom
- Energy relative to the elements, uncorrected: -2.78 eV per atom
- Space-group type: P4mm

Record 7
An optimized crystal structure of Co4Pt3, computed with GGA-PBEsol.

Cell: 5.050 5.050 4.378 Å, 90.00 90.00 120.00°
Sites, in units of the cell vectors:
Co1 0.000 0.000 0.245
Co2 0.000 0.000 0.755
Co3 0.333 0.667 0.000
Co4 0.667 0.333 0.000
Pt1 0.000 0.500 0.500
Pt2 0.500 0.000 0.500
Pt3 0.500 0.500 0.500

Values from the calculation:
- DOS at the Fermi energy: 1.318 states/eV per atom
- Space-group type: P6/mmm
- Formation enthalpy at 0 K: 0.366 eV per atom

Record 8
An optimized crystal structure of MgZn2Cd, computed with GGA-PBEsol.

Cell: 3.052 4.558 5.239 Å, 90.00 90.11 90.00°
Sites, in units of the cell vectors:
Mg1 0.000 0.000 0.000
Zn1 0.499 0.500 0.237
Zn2 0.501 0.500 0.763
Cd1 0.500 0.000 0.500

Values from the calculation:
- DOS at the Fermi energy: 0.310 states/eV per atom
- Energy above the lowest structure with this stoichiometry: 38 meV per atom
- Space-group type: P2/m
- Formation enthalpy at 0 K: 0.003 eV per atom

Respective magnetic moment values: 0.0 4.9 2.2 0.0 0.0 0.0 8.6 0.0 μB per formula unit.